1.
# Cs2SeCl4 (PBE, relaxed)
# E_form (uncorrected)   -876 kJ/mol of formula units
# Calculated total energy   -3.093 eV per atom
# Relative energy among the computed polymorphs   0 meV per atom
# Magnetization   0.00 μB per formula unit
data_Cs2SeCl4
_symmetry_space_group_name_H-M 'P 1'
_symmetry_Int_Tables_number 1
_cell_length_a 7.239
_cell_length_b 7.239
_cell_length_c 7.239
_cell_angle_alpha 115.61
_cell_angle_beta 115.61
_cell_angle_gamma 97.79
loop_
_symmetry_equiv_pos_as_xyz
'x,y,z'
loop_
_atom_site_label
_atom_site_type_symbol
_atom_site_fract_x
_atom_site_fract_y
_atom_site_fract_z
_atom_site_occupancy
Cs1 Cs 0.750 0.250 0.500 1
Cs2 Cs 0.250 0.750 0.500 1
Se1 Se 0.500 0.500 0.000 1
Cl1 Cl 0.727 0.727 0.454 1
Cl2 Cl 0.273 0.273 0.546 1
Cl3 Cl 0.727 0.273 0.000 1
Cl4 Cl 0.273 0.727 0.000 1

---

2.
# CsSe2Cl (PBE, relaxed)
# E_form (uncorrected)   -83 kJ/mol of formula units
# Calculated total energy   -2.633 eV per atom
# Relative energy among the computed polymorphs   441 meV per atom
# Magnetization   0.00 μB per formula unit
data_CsSe2Cl
_symmetry_space_group_name_H-M 'P 1'
_symmetry_Int_Tables_number 1
_cell_length_a 6.193
_cell_length_b 6.193
_cell_length_c 6.193
_cell_angle_alpha 58.40
_cell_angle_beta 58.40
_cell_angle_gamma 58.40
loop_
_symmetry_equiv_pos_as_xyz
'x,y,z'
loop_
_atom_site_label
_atom_site_type_symbol
_atom_site_fract_x
_atom_site_fract_y
_atom_site_fract_z
_atom_site_occupancy
Cs1 Cs 0.500 0.500 0.500 1
Se1 Se 0.837 0.837 0.837 1
Se2 Se 0.163 0.163 0.163 1
Cl1 Cl 0.000 0.000 0.000 1

---

- E_form (uncorrected) of number 1 (Cs2SeCl4)?
  -876 kJ/mol of formula units

---

- Which of these has the highest relative energy among the computed polymorphs?
  CsSe2Cl

---

What did the first record say?
# Cs2SeCl4 (PBE, relaxed)
# E_form (uncorrected)   -876 kJ/mol of formula units
# Calculated total energy   -3.093 eV per atom
# Relative energy among the computed polymorphs   0 meV per atom
# Magnetization   0.00 μB per formula unit
data_Cs2SeCl4
_symmetry_space_group_name_H-M 'P 1'
_symmetry_Int_Tables_number 1
_cell_length_a 7.239
_cell_length_b 7.239
_cell_length_c 7.239
_cell_angle_alpha 115.61
_cell_angle_beta 115.61
_cell_angle_gamma 97.79
loop_
_symmetry_equiv_pos_as_xyz
'x,y,z'
loop_
_atom_site_label
_atom_site_type_symbol
_atom_site_fract_x
_atom_site_fract_y
_atom_site_fract_z
_atom_site_occupancy
Cs1 Cs 0.750 0.250 0.500 1
Cs2 Cs 0.250 0.750 0.500 1
Se1 Se 0.500 0.500 0.000 1
Cl1 Cl 0.727 0.727 0.454 1
Cl2 Cl 0.273 0.273 0.546 1
Cl3 Cl 0.727 0.273 0.000 1
Cl4 Cl 0.273 0.727 0.000 1